! PBE-GGA Nd2DyMg, relaxed; values from VASP
! - Offset from the most stable computed form: 0.000 eV per atom
! - Space-group type: P4/mmm (123)
! - Energy of formation: -0.032 eV per atom
&SYSTEM
  ibrav = 0, nat = 4, ntyp = 3
/
ATOMIC_SPECIES
Mg 24.30 Mg.upf
Nd 144.24 Nd.upf
Dy 162.50 Dy.upf
CELL_PARAMETERS angstrom
-3.435 -1.446 0.093
0.779 -1.642 3.254
-2.972 7.342 4.417
ATOMIC_POSITIONS angstrom
Mg -1.328 -1.544 1.674
Nd -0.684 1.690 1.017
Nd -2.288 5.651 3.400
Dy -2.814 2.127 3.882